# 1
Compound: Cu2BiHRh
Source: Alexandria
Functional: PBE-GGA
Structure: relaxed

CIF file:
```
data_Cu2BiHRh
_space_group_name_H-M_alt 'P 4/m m m'
_space_group_IT_number 123
_space_group_name_Hall '-P 4 2'
_cell_length_a 4.282
_cell_length_b 4.282
_cell_length_c 3.708
_cell_angle_alpha 90.00
_cell_angle_beta 90.00
_cell_angle_gamma 90.00
loop_
_atom_site_label
_atom_site_type_symbol
_atom_site_fract_x
_atom_site_fract_y
_atom_site_fract_z
Cu1 Cu 0.000 0.500 0.000
Bi1 Bi 0.000 0.000 0.500
H1 H 0.500 0.500 0.000
Rh1 Rh 0.500 0.500 0.500
```

Values from the calculation:
VASP energy   -0.3240 Ry per atom
M_tot   0.00 μB/f.u.



# 2
Compound: LaCrCl2
Source: Alexandria
Functional: PBE-GGA
Structure: relaxed

CIF file:
```
data_LaCrCl2
_space_group_name_H-M_alt 'P 4/m m m'
_space_group_IT_number 123
_space_group_name_Hall '-P 4 2'
_cell_length_a 4.667
_cell_length_b 4.667
_cell_length_c 3.981
_cell_angle_alpha 90.00
_cell_angle_beta 90.00
_cell_angle_gamma 90.00
loop_
_atom_site_label
_atom_site_type_symbol
_atom_site_fract_x
_atom_site_fract_y
_atom_site_fract_z
La1 La 0.000 0.000 0.000
Cr1 Cr 0.500 0.500 0.000
Cl1 Cl 0.000 0.500 0.500
```

Values from the calculation:
VASP energy   -0.3885 Ry per atom
Energy relative to the elements, uncorrected   -2.90 eV/f.u.
Energy above the most stable polymorph in this dataset   0.63 eV per formula unit
M_tot   4.68 μB/f.u.



# 3
Compound: Tb3Pm4Dy
Source: Alexandria
Functional: PBE-GGA
Structure: relaxed

CIF file:
```
data_Tb3Pm4Dy
_space_group_name_H-M_alt 'C 1 2/m 1'
_space_group_IT_number 12
_cell_length_a 23.561
_cell_length_b 3.496
_cell_length_c 6.823
_cell_angle_alpha 90.00
_cell_angle_beta 106.69
_cell_angle_gamma 90.00
loop_
_space_group_symop_operation_xyz
'x,y,z'
'-x,-y,-z'
'-x,y,-z'
'x,-y,z'
'x+1/2,y+1/2,z'
'-x+1/2,-y+1/2,-z'
'-x+1/2,y+1/2,-z'
'x+1/2,-y+1/2,z'
loop_
_atom_site_label
_atom_site_type_symbol
_atom_site_fract_x
_atom_site_fract_y
_atom_site_fract_z
Tb1 Tb 0.000 0.000 0.000
Tb2 Tb 0.123 0.000 0.381
Pm1 Pm 0.124 0.000 0.867
Pm2 Pm 0.241 0.500 0.737
Dy1 Dy 0.000 0.500 0.500
```

Values from the calculation:
VASP energy   -0.3324 Ry per atom
Energy of formation from the pure elements   126.5 kJ/mol of formula units
Energy above the most stable polymorph in this dataset   1.11 eV per formula unit
M_tot   0.00 μB/f.u.



# 4
Compound: LaNd7Cd4
Source: Alexandria
Functional: PBE-GGA
Structure: relaxed

CIF file:
```
data_LaNd7Cd4
_space_group_name_H-M_alt 'C 1 2/m 1'
_space_group_IT_number 12
_cell_length_a 15.090
_cell_length_b 5.899
_cell_length_c 10.039
_cell_angle_alpha 90.00
_cell_angle_beta 122.19
_cell_angle_gamma 90.00
loop_
_space_group_symop_operation_xyz
'x,y,z'
'-x,-y,-z'
'-x,y,-z'
'x,-y,z'
'x+1/2,y+1/2,z'
'-x+1/2,-y+1/2,-z'
'-x+1/2,y+1/2,-z'
'x+1/2,-y+1/2,z'
loop_
_atom_site_label
_atom_site_type_symbol
_atom_site_fract_x
_atom_site_fract_y
_atom_site_fract_z
La1 La 0.000 0.000 0.000
Nd1 Nd 0.000 0.500 0.000
Nd2 Nd 0.069 0.000 0.411
Nd3 Nd 0.204 0.000 0.882
Nd4 Nd 0.235 0.500 0.691
Cd1 Cd 0.040 0.500 0.715
Cd2 Cd 0.182 0.500 0.343
```

Values from the calculation:
VASP energy   -0.2596 Ry per atom
Energy of formation from the pure elements   -41.4 kJ/mol of formula units
M_tot   0.32 μB/f.u.



# 5
Compound: CoMoRu
Source: Alexandria
Functional: PBE-GGA
Structure: relaxed

CIF file:
```
data_CoMoRu
_space_group_name_H-M_alt 'I 4 m m'
_space_group_IT_number 107
_space_group_name_Hall 'I 4 -2'
_cell_length_a 2.677
_cell_length_b 2.677
_cell_length_c 11.291
_cell_angle_alpha 90.00
_cell_angle_beta 90.00
_cell_angle_gamma 90.00
loop_
_atom_site_label
_atom_site_type_symbol
_atom_site_fract_x
_atom_site_fract_y
_atom_site_fract_z
Co1 Co 0.000 0.000 0.000
Mo1 Mo 0.000 0.000 0.336
Ru1 Ru 0.000 0.000 0.654
```

Values from the calculation:
VASP energy   -0.6583 Ry per atom
Energy of formation from the pure elements   33.1 kJ/mol of formula units
Energy above the most stable polymorph in this dataset   0.01 eV per formula unit
M_tot   1.31 μB/f.u.



# 6
Compound: Ho2Mn2Co15
Source: Alexandria
Functional: PBE-GGA
Structure: relaxed

CIF file:
```
data_Ho2Mn2Co15
_space_group_name_H-M_alt 'R -3 m'
_space_group_IT_number 166
_space_group_name_Hall '-R 3 2"'
_cell_length_a 8.3272
_cell_length_b 8.3272
_cell_length_c 12.1750
_cell_angle_alpha 90.00
_cell_angle_beta 90.00
_cell_angle_gamma 120.00
loop_
_atom_site_label
_atom_site_type_symbol
_atom_site_fract_x
_atom_site_fract_y
_atom_site_fract_z
Ho1 Ho 0.0000 0.0000 0.1519
Mn1 Mn 0.0000 0.0000 0.3953
Co1 Co 0.0000 0.2881 0.5000
Co2 Co 0.0000 0.5000 0.0000
Co3 Co 0.0028 0.5014 0.6513
```

Values from the calculation:
VASP energy   -0.5261 Ry per atom
Energy of formation from the pure elements   -184.5 kJ/mol of formula units
M_tot   28.28 μB/f.u.



# 7
Compound: TbGePd
Source: Alexandria
Functional: PBE-GGA
Structure: relaxed

CIF file:
```
data_TbGePd
_space_group_name_H-M_alt 'R -3 m'
_space_group_IT_number 166
_space_group_name_Hall '-R 3 2"'
_cell_length_a 4.7545
_cell_length_b 4.7545
_cell_length_c 20.4111
_cell_angle_alpha 90.00
_cell_angle_beta 90.00
_cell_angle_gamma 120.00
loop_
_atom_site_label
_atom_site_type_symbol
_atom_site_fract_x
_atom_site_fract_y
_atom_site_fract_z
Tb1 Tb 0.0000 0.0000 0.1086
Ge1 Ge 0.0000 0.0000 0.2576
Pd1 Pd 0.0000 0.0000 0.3772
```

Values from the calculation:
VASP energy   -0.3943 Ry per atom
Energy of formation from the pure elements   -159.7 kJ/mol of formula units
M_tot   0.00 μB/f.u.



# 8
Compound: Ag3C
Source: Alexandria
Functional: PBE-GGA
Structure: relaxed

CIF file:
```
data_Ag3C
_space_group_name_H-M_alt 'P n m a'
_space_group_IT_number 62
_cell_length_a 5.969
_cell_length_b 7.907
_cell_length_c 5.292
_cell_angle_alpha 90.00
_cell_angle_beta 90.00
_cell_angle_gamma 90.00
loop_
_space_group_symop_operation_xyz
'x,y,z'
'-x,-y,-z'
'-x+1/2,-y,z+1/2'
'x+1/2,y,-z+1/2'
'x+1/2,-y+1/2,-z+1/2'
'-x+1/2,y+1/2,z+1/2'
'-x,y+1/2,-z'
'x,-y+1/2,z'
loop_
_atom_site_label
_atom_site_type_symbol
_atom_site_fract_x
_atom_site_fract_y
_atom_site_fract_z
Ag1 Ag 0.110 0.250 0.235
Ag2 Ag 0.138 0.067 0.728
C1 C 0.133 0.750 0.446
```

Values from the calculation:
VASP energy   -0.2512 Ry per atom
Energy of formation from the pure elements   396.3 kJ/mol of formula units
Energy above the most stable polymorph in this dataset   1.88 eV per formula unit
M_tot   0.00 μB/f.u.



# 9
Compound: TaTcRh2
Source: Alexandria
Functional: PBE-GGA
Structure: relaxed

CIF file:
```
data_TaTcRh2
_space_group_name_H-M_alt 'P 4/m m m'
_space_group_IT_number 123
_space_group_name_Hall '-P 4 2'
_cell_length_a 3.920
_cell_length_b 3.920
_cell_length_c 3.911
_cell_angle_alpha 90.00
_cell_angle_beta 90.00
_cell_angle_gamma 90.00
loop_
_atom_site_label
_atom_site_type_symbol
_atom_site_fract_x
_atom_site_fract_y
_atom_site_fract_z
Ta1 Ta 0.000 0.000 0.000
Tc1 Tc 0.500 0.500 0.000
Rh1 Rh 0.000 0.500 0.500
```

Values from the calculation:
VASP energy   -0.7081 Ry per atom
Energy of formation from the pure elements   -155.8 kJ/mol of formula units
Energy above the most stable polymorph in this dataset   0.00 eV per formula unit
M_tot   0.00 μB/f.u.



# 10
Compound: LiNdThTe3
Source: Alexandria
Functional: PBE-GGA
Structure: relaxed

CIF file:
```
data_LiNdThTe3
_space_group_name_H-M_alt 'P 1 21/m 1'
_space_group_IT_number 11
_cell_length_a 9.408
_cell_length_b 4.194
_cell_length_c 9.639
_cell_angle_alpha 90.00
_cell_angle_beta 106.60
_cell_angle_gamma 90.00
loop_
_space_group_symop_operation_xyz
'x,y,z'
'-x,-y,-z'
'-x,y+1/2,-z'
'x,-y+1/2,z'
loop_
_atom_site_label
_atom_site_type_symbol
_atom_site_fract_x
_atom_site_fract_y
_atom_site_fract_z
Li1 Li 0.083 0.250 0.093
Nd1 Nd 0.185 0.250 0.737
Th1 Th 0.355 0.750 0.364
Te1 Te 0.096 0.250 0.381
Te2 Te 0.222 0.750 0.009
Te3 Te 0.426 0.750 0.710
```

Values from the calculation:
VASP energy   -0.3744 Ry per atom
Energy relative to the elements, uncorrected   -7.04 eV/f.u.
M_tot   0.00 μB/f.u.



# 11
Compound: Ho3ErHg3
Source: Alexandria
Functional: PBE-GGA
Structure: relaxed

CIF file:
```
data_Ho3ErHg3
_space_group_name_H-M_alt 'P 63/m'
_space_group_IT_number 176
_space_group_name_Hall '-P 6c'
_cell_length_a 9.2179
_cell_length_b 9.2179
_cell_length_c 5.1387
_cell_angle_alpha 90.00
_cell_angle_beta 90.00
_cell_angle_gamma 120.00
loop_
_atom_site_label
_atom_site_type_symbol
_atom_site_fract_x
_atom_site_fract_y
_atom_site_fract_z
Ho1 Ho 0.0093 0.7651 0.2500
Er1 Er 0.3333 0.6667 0.7500
Hg1 Hg 0.0518 0.4401 0.2500
```

Values from the calculation:
VASP energy   -0.2222 Ry per atom
Energy of formation from the pure elements   -189.1 kJ/mol of formula units
M_tot   0.00 μB/f.u.



# 12
Compound: TlSeF6
Source: Alexandria
Functional: PBE-GGA
Structure: relaxed

CIF file:
```
data_TlSeF6
_space_group_name_H-M_alt 'R -3 m'
_space_group_IT_number 166
_space_group_name_Hall '-R 3 2"'
_cell_length_a 5.6336
_cell_length_b 5.6336
_cell_length_c 15.5133
_cell_angle_alpha 90.00
_cell_angle_beta 90.00
_cell_angle_gamma 120.00
loop_
_atom_site_label
_atom_site_type_symbol
_atom_site_fract_x
_atom_site_fract_y
_atom_site_fract_z
Tl1 Tl 0.0000 0.0000 0.0000
Se1 Se 0.0000 0.0000 0.5000
F1 F 0.0234 0.5117 0.0972
```

Values from the calculation:
VASP energy   -0.2806 Ry per atom
Energy relative to the elements, uncorrected   -13.46 eV/f.u.
Energy above the most stable polymorph in this dataset   0.10 eV per formula unit
M_tot   1.00 μB/f.u.